Entry 1:
# CsSnTeI2 PBE relaxed
data_CsSnTeI2
_chemical_formula_sum 'Cs1 Sn1 Te1 I2'
_space_group_name_H-M_alt 'P 4/m m m'
_space_group_IT_number 123
_space_group_name_Hall '-P 4 2'
_cell_length_a 6.262
_cell_length_b 6.262
_cell_length_c 5.865
_cell_angle_alpha 90.00
_cell_angle_beta 90.00
_cell_angle_gamma 90.00
loop_
_atom_site_label
_atom_site_type_symbol
_atom_site_fract_x
_atom_site_fract_y
_atom_site_fract_z
Cs1 Cs 0.000 0.000 0.000
Sn1 Sn 0.500 0.500 0.500
Te1 Te 0.500 0.500 0.000
I1 I 0.000 0.500 0.500
# Offset from the most stable computed form (eV per atom): 0.000


Entry 2:
Entry from Alexandria via LeMat-Bulk: a relaxed Cs2SnTeI3 crystal (PBE).

```
data_Cs2SnTeI3
_chemical_formula_sum 'Cs4 Sn2 Te2 I6'
_space_group_name_H-M_alt 'I m m m'
_space_group_IT_number 71
_space_group_name_Hall '-I 2 2'
_cell_length_a 5.840
_cell_length_b 6.252
_cell_length_c 19.561
_cell_angle_alpha 90.00
_cell_angle_beta 90.00
_cell_angle_gamma 90.00
loop_
_atom_site_label
_atom_site_type_symbol
_atom_site_fract_x
_atom_site_fract_y
_atom_site_fract_z
Cs1 Cs 0.000 0.000 0.139
Sn1 Sn 0.000 0.000 0.500
Te1 Te 0.000 0.500 0.000
I1 I 0.000 0.000 0.338
I2 I 0.000 0.500 0.500
```


Entry 3:
# CsSnTe2I PBE relaxed
data_CsSnTe2I
_chemical_formula_sum 'Cs1 Sn1 Te2 I1'
_space_group_name_H-M_alt 'P 4/m m m'
_space_group_IT_number 123
_space_group_name_Hall '-P 4 2'
_cell_length_a 6.289
_cell_length_b 6.289
_cell_length_c 6.731
_cell_angle_alpha 90.00
_cell_angle_beta 90.00
_cell_angle_gamma 90.00
loop_
_atom_site_label
_atom_site_type_symbol
_atom_site_fract_x
_atom_site_fract_y
_atom_site_fract_z
Cs1 Cs 0.000 0.000 0.000
Sn1 Sn 0.500 0.500 0.500
Te1 Te 0.000 0.500 0.000
I1 I 0.000 0.000 0.500
# Offset from the most stable computed form (eV per atom): 1.140


Entry 4:
# CsSnTeI2 PBE relaxed
data_CsSnTeI2
_chemical_formula_sum 'Cs1 Sn1 Te1 I2'
_space_group_name_H-M_alt 'P 4/m m m'
_space_group_IT_number 123
_space_group_name_Hall '-P 4 2'
_cell_length_a 6.793
_cell_length_b 6.793
_cell_length_c 6.261
_cell_angle_alpha 90.00
_cell_angle_beta 90.00
_cell_angle_gamma 90.00
loop_
_atom_site_label
_atom_site_type_symbol
_atom_site_fract_x
_atom_site_fract_y
_atom_site_fract_z
Cs1 Cs 0.000 0.000 0.000
Sn1 Sn 0.500 0.500 0.500
Te1 Te 0.000 0.000 0.500
I1 I 0.000 0.500 0.000
# Offset from the most stable computed form (eV per atom): 1.052


Listing ΔE_f (raw) for the structures above in their given order: -0.659; -0.922; 0.685; 0.392 eV per atom.
Listing calculated volume for the structures above in their given order: 230.0; 714.2; 266.2; 288.9 Å³/cell.